Computed, not measured: a geometry-optimized Tc2AsIr structure at the PBE level of DFT.

a = 3.919 Å, b = 3.919 Å, c = 7.619 Å
α = 90.00°, β = 90.00°, γ = 90.00°
Space group I4/mmm (No. 139)
One atom of each set of equivalent atoms:
Tc (0.000, 0.500, 0.250) x4
As (0.000, 0.000, 0.000) x2
Ir (0.000, 0.000, 0.500) x2

Results
Formation enthalpy at 0 K, meV per atom: 162.3